# ErGa2WO8 (PBE+U, relaxed)
# Space-group type: Cmmm (65)
# Crystal system: orthorhombic
# Magnetic moment: 0.0583 μB/atom
# Calculated total energy: -6.8616 eV per atom
data_ErGa2WO8
_chemical_formula_sum 'Er1 Ga2 W1 O8'
_space_group_name_H-M_alt 'P 1'
_space_group_IT_number 1
_cell_length_a 4.707
_cell_length_b 4.705
_cell_length_c 6.399
_cell_angle_alpha 90.00
_cell_angle_beta 90.00
_cell_angle_gamma 90.05
loop_
_space_group_symop_operation_xyz
'x,y,z'
loop_
_atom_site_label
_atom_site_type_symbol
_atom_site_fract_x
_atom_site_fract_y
_atom_site_fract_z
Er1 Er 0.000 0.000 0.500
Ga1 Ga 0.500 0.500 0.757
Ga2 Ga 0.500 0.500 0.243
W1 W 0.000 0.000 0.000
O1 O 0.199 0.800 0.219
O2 O 0.701 0.702 0.000
O3 O 0.801 0.200 0.219
O4 O 0.801 0.200 0.781
O5 O 0.299 0.298 0.000
O6 O 0.199 0.800 0.781
O7 O 0.673 0.674 0.500
O8 O 0.327 0.326 0.500